Model w:
DFT (GGA-PBE) results for an optimized crystal structure of LaPm3Y6.

Cell and atoms, written as POSCAR:
```
LaPm3Y6
1.0
5.005 2.889 3.896
-5.005 2.889 3.896
0.000 -5.779 3.896
La Pm Y
1 3 6
Cartesian
0.000 0.000 0.000
0.000 0.000 2.932
0.000 0.000 5.843
0.000 0.000 8.749
-1.643 -2.929 3.904
-3.255 -0.001 5.853
-1.715 2.888 3.904
1.628 -2.819 5.853
3.358 0.042 3.904
1.627 2.819 5.853
```

* space-group type: No. 146
* mass density: 5.44 Mg/m³

***

Model x:
DFT (GGA-PBE) results for an optimized crystal structure of LaPm3Y6.

Cell and atoms, written as POSCAR:
```
LaPm3Y6
1.0
5.524 -9.502 0.000
5.524 9.502 0.000
0.000 0.000 6.425
La Pm Y
2 6 12
Cartesian
5.524 5.912 3.213
5.524 -5.912 0.000
2.011 2.148 4.396
2.011 -2.148 1.183
5.524 2.125 3.711
5.524 -2.125 0.498
9.038 2.148 4.396
9.038 -2.148 1.183
5.524 8.734 5.035
2.931 3.957 1.776
5.524 4.425 6.295
3.686 0.846 0.646
3.686 -0.846 3.859
2.931 -3.957 4.988
8.117 3.957 1.776
7.362 0.846 0.646
7.362 -0.846 3.859
5.524 -4.425 3.082
8.117 -3.957 4.988
5.524 -8.734 1.823
```

* space-group type: No. 36
* mass density: 5.45 Mg/m³

***

Stability ranking, top and bottom: model x is the most stable and model w is the least stable.

***

Model w:
DFT (GGA-PBE) results for an optimized crystal structure of La6Pm12Y.

Cell and atoms, written as POSCAR:
```
La6Pm12Y
1.0
7.884 4.552 3.236
-7.884 4.552 3.236
0.000 -9.104 3.236
La Pm Y
6 12 1
Cartesian
-3.602 -2.080 5.073
0.000 -4.160 4.634
-3.602 2.080 4.634
3.602 -2.080 5.073
0.000 4.160 5.073
3.602 2.080 4.634
-3.097 -5.363 4.854
-6.193 0.000 4.854
-1.602 -0.925 3.095
1.602 -0.925 3.095
0.000 1.850 3.095
3.097 -5.363 4.854
-3.097 5.363 4.854
0.000 -1.850 6.612
-1.602 0.925 6.612
1.602 0.925 6.612
6.193 0.000 4.854
3.097 5.363 4.854
0.000 0.000 0.000
```

* space-group type: No. 166
* mass density: 6.34 Mg/m³

***

Model x:
DFT (GGA-PBE) results for an optimized crystal structure of La6Pm12Y.

Cell and atoms, written as POSCAR:
```
La6Pm12Y
1.0
6.189 3.573 5.090
-6.189 3.573 5.090
0.000 -7.147 5.090
La Pm Y
6 12 1
Cartesian
-2.450 -2.644 7.931
-3.515 0.800 7.339
1.065 -3.444 7.339
-1.065 3.444 7.931
3.515 -0.800 7.931
2.450 2.644 7.339
-1.527 -5.583 6.362
-5.598 -1.469 8.908
-1.080 -1.809 4.736
-4.072 4.114 6.362
-1.027 1.840 4.736
2.107 -0.031 4.736
-2.107 0.031 10.534
1.027 -1.840 10.534
4.072 -4.114 8.908
1.080 1.809 10.534
5.598 1.469 6.362
1.527 5.583 8.908
0.000 0.000 7.635
```

* space-group type: No. 148
* mass density: 6.55 Mg/m³

***

Stability ranking, top and bottom: model x is the most stable and model w is the least stable.

***

Model w:
DFT (GGA-PBE) results for an optimized crystal structure of La2PmY4.

Cell and atoms, written as POSCAR:
```
La2PmY4
1.0
-2.314 2.314 11.496
2.314 -2.314 11.496
2.314 2.314 -11.496
La Pm Y
2 1 4
Cartesian
0.000 0.000 2.206
0.000 0.000 20.786
0.000 0.000 11.496
2.314 0.000 5.748
0.000 0.000 8.294
0.000 0.000 14.698
0.000 2.314 5.748
```

* space-group type: No. 139
* mass density: 5.25 Mg/m³

***

Model x:
DFT (GGA-PBE) results for an optimized crystal structure of La2PmY4.

Cell and atoms, written as POSCAR:
```
La2PmY4
1.0
7.870 0.000 0.000
0.000 7.870 0.000
0.000 0.000 8.232
La Pm Y
4 2 8
Cartesian
0.000 0.000 0.000
0.000 0.000 4.116
0.000 3.935 0.000
3.935 0.000 0.000
3.935 3.935 0.000
3.935 3.935 4.116
1.984 1.984 2.301
1.984 1.984 5.932
1.984 5.887 2.301
1.984 5.887 5.932
5.887 1.984 2.301
5.887 1.984 5.932
5.887 5.887 2.301
5.887 5.887 5.932
```

* space-group type: No. 123
* mass density: 5.07 Mg/m³

***

Stability ranking, top and bottom: model w is the most stable and model x is the least stable.

***

Model w:
DFT (GGA-PBE) results for an optimized crystal structure of La5PmY4.

Cell and atoms, written as POSCAR:
```
La5PmY4
1.0
3.710 0.000 0.000
0.000 3.710 0.000
0.000 0.000 25.383
La Pm Y
5 1 4
Cartesian
0.000 0.000 0.000
0.000 0.000 5.046
0.000 0.000 10.117
0.000 0.000 15.267
0.000 0.000 20.338
1.855 1.855 12.692
1.855 1.855 2.522
1.855 1.855 7.569
1.855 1.855 17.815
1.855 1.855 22.861
```

* space-group type: No. 123
* mass density: 5.68 Mg/m³

***

Model x:
DFT (GGA-PBE) results for an optimized crystal structure of La5PmY4.

Cell and atoms, written as POSCAR:
```
La5PmY4
1.0
3.581 0.000 0.000
1.777 9.271 0.000
0.017 2.748 10.864
La Pm Y
5 1 4
Cartesian
0.000 0.000 0.000
1.813 5.804 10.506
1.794 4.600 6.460
3.581 7.419 4.404
3.562 6.215 0.359
0.008 1.374 5.432
1.788 7.959 7.782
1.793 1.160 2.605
3.582 10.859 8.259
3.587 4.061 3.083
```

* space-group type: No. 2
* mass density: 5.50 Mg/m³

***

Stability ranking, top and bottom: model w is the most stable and model x is the least stable.

***

Model w:
DFT (GGA-PBE) results for an optimized crystal structure of LaPm2Y6.

Cell and atoms, written as POSCAR:
```
LaPm2Y6
1.0
3.611 0.000 0.000
0.011 8.858 0.000
1.796 0.020 9.360
La Pm Y
1 2 6
Cartesian
0.000 0.000 0.000
1.810 2.968 1.049
3.607 5.910 8.311
1.803 2.976 7.249
1.805 5.908 5.198
1.814 8.863 3.157
3.603 0.016 6.203
3.613 2.970 4.163
3.615 5.902 2.111
```

* space-group type: No. 2
* mass density: 5.34 Mg/m³

***

Model x:
DFT (GGA-PBE) results for an optimized crystal structure of LaPm2Y6.

Cell and atoms, written as POSCAR:
```
LaPm2Y6
1.0
6.517 -7.131 0.000
6.517 7.131 0.000
-1.425 0.000 6.502
La Pm Y
2 4 12
Cartesian
5.448 5.403 4.876
6.160 -5.403 1.625
3.809 0.381 4.092
4.522 -0.381 0.841
7.087 0.381 5.661
7.799 -0.381 2.410
0.613 1.210 5.312
3.003 2.867 1.743
1.326 -1.210 2.062
4.651 2.683 6.499
6.245 2.683 3.253
2.290 -2.867 4.994
9.318 2.867 1.508
5.364 -2.683 3.249
6.957 -2.683 0.002
10.282 1.210 4.440
8.606 -2.867 4.759
10.995 -1.210 1.189
```

* space-group type: No. 15
* mass density: 5.29 Mg/m³

***

Stability ranking, top and bottom: model w is the most stable and model x is the least stable.

***

Model w:
DFT (GGA-PBE) results for an optimized crystal structure of La4Pm2Y.

Cell and atoms, written as POSCAR:
```
La4Pm2Y
1.0
6.384 0.000 0.000
1.060 9.696 0.000
3.172 4.539 8.042
La Pm Y
8 4 2
Cartesian
0.000 0.000 0.000
2.117 5.333 4.610
1.072 6.161 1.154
3.188 11.522 5.746
6.367 9.746 6.298
5.313 10.594 2.851
4.259 4.403 1.710
4.256 7.910 0.544
2.126 8.837 3.454
1.075 2.654 2.298
5.291 7.090 4.019
6.360 6.273 7.438
3.187 8.012 6.894
5.310 3.600 5.150
```

* space-group type: No. 1
* mass density: 6.23 Mg/m³

***

Model x:
DFT (GGA-PBE) results for an optimized crystal structure of La4Pm2Y.

Cell and atoms, written as POSCAR:
```
La4Pm2Y
1.0
-3.490 5.857 6.177
3.490 -5.857 6.177
3.490 5.857 -6.177
La Pm Y
8 4 2
Cartesian
0.000 0.030 1.825
1.527 2.928 -0.087
1.963 -2.928 6.090
3.490 0.030 4.352
0.000 5.827 1.825
1.527 8.785 0.087
1.963 2.928 6.265
3.490 5.827 4.352
3.490 0.000 0.000
3.490 2.928 -2.682
0.000 0.000 6.177
0.000 2.928 8.859
-1.745 2.928 3.089
1.745 2.928 3.089
```

* space-group type: No. 74
* mass density: 6.14 Mg/m³

***

Stability ranking, top and bottom: model w is the most stable and model x is the least stable.

***

Model w:
DFT (GGA-PBE) results for an optimized crystal structure of LaPm6Y2.

Cell and atoms, written as POSCAR:
```
LaPm6Y2
1.0
10.135 0.000 0.000
-5.067 8.777 0.000
0.000 0.000 3.482
La Pm Y
1 6 2
Cartesian
0.000 0.000 0.000
-1.735 3.006 2.714
-3.332 5.771 0.768
3.471 0.000 2.714
1.735 3.006 0.768
6.664 0.000 0.768
3.332 5.771 2.714
0.000 5.851 1.741
5.067 2.926 1.741
```

* space-group type: No. 162
* mass density: 6.36 Mg/m³

***

Model x:
DFT (GGA-PBE) results for an optimized crystal structure of LaPm6Y2.

Cell and atoms, written as POSCAR:
```
LaPm6Y2
1.0
5.955 -1.739 0.000
5.955 1.739 0.000
-3.412 0.000 15.199
La Pm Y
1 6 2
Cartesian
0.000 0.000 0.000
-0.311 0.000 3.525
3.139 0.000 1.607
2.521 0.000 8.562
5.977 0.000 6.637
5.360 0.000 13.593
8.810 0.000 11.674
2.824 0.000 5.083
5.675 0.000 10.116
```

* space-group type: No. 12
* mass density: 6.26 Mg/m³

***

Stability ranking, top and bottom: model w is the most stable and model x is the least stable.

***

Model w:
DFT (GGA-PBE) results for an optimized crystal structure of LaPm6Y12.

Cell and atoms, written as POSCAR:
```
LaPm6Y12
1.0
7.860 4.538 2.944
-7.860 4.538 2.944
0.000 -9.076 2.944
La Pm Y
1 6 12
Cartesian
0.000 0.000 0.000
-2.482 -3.334 2.943
-1.646 3.817 2.943
-4.129 0.483 5.890
4.129 -0.483 2.943
1.646 -3.817 5.890
2.482 3.334 5.890
-4.958 2.387 2.950
0.412 -5.487 2.950
-2.075 0.238 2.954
-4.546 -3.100 5.883
0.832 -1.916 2.954
1.244 1.678 2.954
-1.244 -1.678 5.879
-0.832 1.916 5.879
4.546 3.100 2.950
2.075 -0.238 5.879
-0.412 5.487 5.883
4.958 -2.387 5.883
```

* space-group type: No. 148
* mass density: 5.47 Mg/m³

***

Model x:
DFT (GGA-PBE) results for an optimized crystal structure of LaPm6Y12.

Cell and atoms, written as POSCAR:
```
LaPm6Y12
1.0
5.591 3.228 5.856
-5.591 3.228 5.856
0.000 -6.456 5.856
La Pm Y
1 6 12
Cartesian
0.000 0.000 0.000
-3.410 -1.969 10.016
0.000 -3.938 7.553
-3.410 1.969 7.553
3.410 -1.969 10.016
0.000 3.938 10.016
3.410 1.969 7.553
0.000 -2.211 4.409
-1.914 1.105 4.409
-1.795 -1.037 7.222
1.914 1.105 4.409
0.000 -2.073 10.347
-1.795 1.037 10.347
1.795 -1.037 7.222
0.000 2.073 7.222
-1.914 -1.105 13.160
1.795 1.037 10.347
1.914 -1.105 13.160
0.000 2.211 13.160
```

* space-group type: No. 166
* mass density: 5.44 Mg/m³

***

Stability ranking, top and bottom: model w is the most stable and model x is the least stable.

***

Model w:
DFT (GGA-PBE) results for an optimized crystal structure of La7Pm3Y2.

Cell and atoms, written as POSCAR:
```
La7Pm3Y2
1.0
6.602 0.000 0.000
0.000 3.600 0.000
-1.825 0.000 17.911
La Pm Y
7 3 2
Cartesian
0.000 0.000 0.000
1.156 1.800 3.068
0.834 1.800 8.808
0.289 0.000 14.902
4.488 0.000 3.008
3.944 1.800 9.102
3.622 1.800 14.842
2.389 0.000 6.027
3.301 1.800 0.000
2.388 0.000 11.884
-0.847 1.800 11.985
5.624 1.800 5.925
```

* space-group type: No. 10
* mass density: 6.18 Mg/m³

***

Model x:
DFT (GGA-PBE) results for an optimized crystal structure of La7Pm3Y2.

Cell and atoms, written as POSCAR:
```
La7Pm3Y2
1.0
6.021 0.000 0.000
0.000 3.642 0.000
-1.245 0.000 19.520
La Pm Y
7 3 2
Cartesian
0.000 0.000 0.000
0.840 1.821 3.580
0.881 1.821 10.404
0.898 0.000 16.674
3.878 0.000 2.846
3.895 1.821 9.116
3.936 1.821 15.940
0.867 0.000 7.118
3.011 1.821 0.000
3.909 0.000 12.402
0.883 1.821 13.708
3.893 1.821 5.812
```

* space-group type: No. 10
* mass density: 6.15 Mg/m³

***

Stability ranking, top and bottom: model w is the most stable and model x is the least stable.